First-principles (GGA-PBE) data for crystalline ThAl3Si at its relaxed geometry, as listed in Alexandria via LeMat-Bulk.

Output
Formation energy without anion corrections = -303.4 meV per atom
Total magnetization = 0.0 μB per cell
VASP energy = -5.1175 eV/atom

a b c (Å): 5.9220 11.2527 5.8739
angles (deg): 90.00 90.00 90.00
Last column: nearest neighbours and their distance in Å.
Space group Cmcm (No. 63)
Inequivalent atoms, fractional coordinates:
Th 0.0000 0.2481 0.2500 (multiplicity 4)  4 Si 3.15-3.19, 8 Al 3.22-3.46
Al 0.0000 0.3644 0.7500 (multiplicity 4)  1 Si 2.45, 4 Al 2.62
Al 0.2381 0.0000 0.0000 (multiplicity 8)  2 Si 2.62, 5 Al 2.62-2.94
Si 0.0000 0.1470 0.7500 (multiplicity 4)  5 Al 2.45-2.62